VASP calculation (PBE) on a geometry-optimized ZrBeTl2 structure.

Values from the calculation:
Fermi-level density of states ... 2.2 states/eV per cell
Crystal system ... tetragonal
DFT formation energy ... 0.2458 eV/atom

abc: 3.2746 3.2746 8.2751
angles: 90.00 90.00 90.00
Closest atoms and distances in Å follow each position.
Space group P4mm (No. 99)
Unique sites:
Zr 0.0000 0.0000 0.0000 (multiplicity 1)  4 Be 2.69
Be 0.5000 0.5000 0.1651 (multiplicity 1)  4 Zr 2.69
Tl 0.0000 0.0000 0.4003 (multiplicity 1)  4 Be 3.02, 4 Tl 3.27, 1 Zr 3.31
Tl 0.5000 0.5000 0.7186 (multiplicity 1)  8 Tl 3.27-3.51, 4 Zr 3.28